## Tl3SbAu8 (GGA-PBE)

Data for a relaxed structure of Tl3SbAu8.

CIF file:
```
data_Tl3SbAu8
_cell_length_a 5.657
_cell_length_b 5.657
_cell_length_c 10.047
_cell_angle_alpha 73.65
_cell_angle_beta 73.65
_cell_angle_gamma 60.00
_space_group_name_H-M_alt 'P 1'
_space_group_IT_number 1
loop_
_space_group_symop_operation_xyz
'x,y,z'
loop_
_atom_site_label
_atom_site_fract_x
_atom_site_fract_y
_atom_site_fract_z
Tl1 0.372 0.372 0.884
Tl2 0.002 0.002 0.993
Tl3 0.498 0.498 0.505
Sb1 0.882 0.882 0.355
Au1 0.934 0.436 0.194
Au2 0.441 0.937 0.684
Au3 0.436 0.436 0.194
Au4 0.937 0.937 0.684
Au5 0.187 0.187 0.440
Au6 0.687 0.687 0.938
Au7 0.436 0.934 0.194
Au8 0.937 0.441 0.684
```

Output
DFT total energy (eV/atom): -3.0996
Density of states at the Fermi level (states/eV/atom): 0.467
Symmetry: R3m (160)
Formation energy (no corrections) (meV per atom): 20

---

## Tl12Sb7Au (GGA-PBE)

Data for a relaxed structure of Tl12Sb7Au.

CIF file:
```
data_Tl12Sb7Au
_cell_length_a 9.381
_cell_length_b 9.375
_cell_length_c 9.375
_cell_angle_alpha 70.54
_cell_angle_beta 70.51
_cell_angle_gamma 109.49
_space_group_name_H-M_alt 'P 1'
_space_group_IT_number 1
loop_
_space_group_symop_operation_xyz
'x,y,z'
loop_
_atom_site_label
_atom_site_fract_x
_atom_site_fract_y
_atom_site_fract_z
Tl1 0.592 0.271 0.174
Tl2 0.233 0.826 0.445
Tl3 0.254 0.220 0.061
Tl4 0.685 0.939 0.281
Tl5 0.678 0.445 0.729
Tl6 0.965 0.281 0.780
Tl7 0.035 0.719 0.220
Tl8 0.322 0.555 0.271
Tl9 0.315 0.061 0.719
Tl10 0.746 0.780 0.939
Tl11 0.767 0.174 0.555
Tl12 0.408 0.729 0.826
Sb1 0.010 0.388 0.137
Sb2 0.853 0.863 0.526
Sb3 0.378 0.526 0.612
Sb4 0.500 0.000 0.000
Sb5 0.622 0.474 0.388
Sb6 0.147 0.137 0.474
Sb7 0.990 0.612 0.863
Au1 0.000 0.000 0.000
```

Output
DFT total energy (eV/atom): -2.9809
Density of states at the Fermi level (states/eV/atom): 0.504
Symmetry: R-3 (148)
Formation energy (no corrections) (meV per atom): 46

---

## Tl2SbAu (GGA-PBE)

Data for a relaxed structure of Tl2SbAu.

CIF file:
```
data_Tl2SbAu
_cell_length_a 6.912
_cell_length_b 6.318
_cell_length_c 3.213
_cell_angle_alpha 89.99
_cell_angle_beta 62.32
_cell_angle_gamma 115.39
_space_group_name_H-M_alt 'P 1'
_space_group_IT_number 1
loop_
_space_group_symop_operation_xyz
'x,y,z'
loop_
_atom_site_label
_atom_site_fract_x
_atom_site_fract_y
_atom_site_fract_z
Au1 0.000 0.500 0.500
Sb1 0.500 0.500 0.000
Tl1 0.000 0.000 0.000
Tl2 0.500 0.000 0.500
```

Output
DFT total energy (eV/atom): -2.9349
Density of states at the Fermi level (states/eV/atom): 0.390
Symmetry: Cmmm (65)
Formation energy (no corrections) (meV per atom): 98

---

## TlSb3Au4 (GGA-PBE)

Data for a relaxed structure of TlSb3Au4.

CIF file:
```
data_TlSb3Au4
_cell_length_a 4.032
_cell_length_b 7.141
_cell_length_c 7.141
_cell_angle_alpha 71.30
_cell_angle_beta 90.00
_cell_angle_gamma 90.00
_space_group_name_H-M_alt 'P 1'
_space_group_IT_number 1
loop_
_space_group_symop_operation_xyz
'x,y,z'
loop_
_atom_site_label
_atom_site_fract_x
_atom_site_fract_y
_atom_site_fract_z
Sb1 0.500 0.000 0.500
Sb2 0.000 0.000 0.000
Sb3 0.000 0.500 0.500
Tl1 0.500 0.501 0.999
Au1 0.000 0.762 0.738
Au2 0.500 0.757 0.257
Au3 0.000 0.239 0.261
Au4 0.500 0.243 0.743
```

Output
DFT total energy (eV/atom): -3.5107
Density of states at the Fermi level (states/eV/atom): 0.440
Symmetry: Amm2 (38)
Formation energy (no corrections) (meV per atom): -30

---

## TlSb2Au (GGA-PBE)

Data for a relaxed structure of TlSb2Au.

CIF file:
```
data_TlSb2Au
_cell_length_a 5.293
_cell_length_b 5.293
_cell_length_c 5.293
_cell_angle_alpha 60.00
_cell_angle_beta 60.00
_cell_angle_gamma 60.00
_space_group_name_H-M_alt 'P 1'
_space_group_IT_number 1
loop_
_space_group_symop_operation_xyz
'x,y,z'
loop_
_atom_site_label
_atom_site_fract_x
_atom_site_fract_y
_atom_site_fract_z
Au1 0.500 0.500 0.500
Sb1 0.000 0.000 0.000
Sb2 0.750 0.750 0.750
Tl1 0.250 0.250 0.250
```

Output
DFT total energy (eV/atom): -3.2680
Density of states at the Fermi level (states/eV/atom): 0.858
Symmetry: F-43m (216)
Formation energy (no corrections) (meV per atom): 204

---

## Tl2SbAu (GGA-PBE)

Data for a relaxed structure of Tl2SbAu.

CIF file:
```
data_Tl2SbAu
_cell_length_a 10.269
_cell_length_b 10.269
_cell_length_c 10.269
_cell_angle_alpha 19.74
_cell_angle_beta 19.74
_cell_angle_gamma 19.74
_space_group_name_H-M_alt 'P 1'
_space_group_IT_number 1
loop_
_space_group_symop_operation_xyz
'x,y,z'
loop_
_atom_site_label
_atom_site_fract_x
_atom_site_fract_y
_atom_site_fract_z
Au1 0.250 0.250 0.250
Sb1 0.750 0.750 0.750
Tl1 0.991 0.991 0.991
Tl2 0.509 0.509 0.509
```

Output
DFT total energy (eV/atom): -2.9060
Density of states at the Fermi level (states/eV/atom): 0.590
Symmetry: R-3m (166)
Formation energy (no corrections) (meV per atom): 127

---

## Tl2SbAu6 (GGA-PBE)

Data for a relaxed structure of Tl2SbAu6.

CIF file:
```
data_Tl2SbAu6
_cell_length_a 6.708
_cell_length_b 6.531
_cell_length_c 5.685
_cell_angle_alpha 79.27
_cell_angle_beta 90.00
_cell_angle_gamma 120.90
_space_group_name_H-M_alt 'P 1'
_space_group_IT_number 1
loop_
_space_group_symop_operation_xyz
'x,y,z'
loop_
_atom_site_label
_atom_site_fract_x
_atom_site_fract_y
_atom_site_fract_z
Tl1 0.620 0.239 0.223
Tl2 0.380 0.761 0.777
Sb1 0.000 0.000 0.000
Au1 0.866 0.308 0.732
Au2 0.878 0.755 0.626
Au3 0.441 0.308 0.732
Au4 0.134 0.692 0.268
Au5 0.122 0.245 0.374
Au6 0.559 0.692 0.268
```

Output
DFT total energy (eV/atom): -3.1591
Density of states at the Fermi level (states/eV/atom): 0.324
Symmetry: C2/m (12)
Formation energy (no corrections) (meV per atom): 10

---

## Tl3Sb4Au2 (GGA-PBE)

Data for a relaxed structure of Tl3Sb4Au2.

CIF file:
```
data_Tl3Sb4Au2
_cell_length_a 5.874
_cell_length_b 9.893
_cell_length_c 9.893
_cell_angle_alpha 76.46
_cell_angle_beta 103.66
_cell_angle_gamma 103.66
_space_group_name_H-M_alt 'P 1'
_space_group_IT_number 1
loop_
_space_group_symop_operation_xyz
'x,y,z'
loop_
_atom_site_label
_atom_site_fract_x
_atom_site_fract_y
_atom_site_fract_z
Tl1 0.119 0.003 0.178
Tl2 0.381 0.822 0.997
Tl3 0.881 0.997 0.822
Tl4 0.619 0.178 0.003
Tl5 0.250 0.600 0.400
Tl6 0.750 0.400 0.600
Sb1 0.667 0.930 0.331
Sb2 0.833 0.669 0.070
Sb3 0.333 0.070 0.669
Sb4 0.167 0.331 0.930
Sb5 0.003 0.207 0.400
Sb6 0.497 0.600 0.793
Sb7 0.997 0.793 0.600
Sb8 0.503 0.400 0.207
Au1 0.488 0.146 0.407
Au2 0.012 0.593 0.854
Au3 0.512 0.854 0.593
Au4 0.988 0.407 0.146
```

Output
DFT total energy (eV/atom): -3.3329
Density of states at the Fermi level (states/eV/atom): 0.353
Symmetry: C2/c (15)
Formation energy (no corrections) (meV per atom): 16